(1)
The following is a PBE with a Hubbard U calculation of crystalline V2GeO4F2 at its relaxed geometry, from Alexandria.

Cell lengths 9.5487, 9.1758, 4.9779 Å; angles 90.00, 90.00, 90.00 degrees
Last column: nearest neighbours and their distance in Å.
Positions (direct):
V1 0.1307 0.0843 0.0972  2 F 1.96-1.98, 4 O 2.01-2.08
V2 0.1307 0.4157 0.0972  2 F 1.96-1.98, 4 O 2.01-2.08
V3 0.3693 0.5843 0.5972  2 F 1.96-1.98, 4 O 2.01-2.08
V4 0.3693 0.9157 0.5972  2 F 1.96-1.98, 4 O 2.01-2.08
V5 0.6307 0.0843 0.4028  2 F 1.96-1.98, 4 O 2.01-2.08
V6 0.6307 0.4157 0.4028  2 F 1.96-1.98, 4 O 2.01-2.08
V7 0.8693 0.5843 0.9028  2 F 1.96-1.98, 4 O 2.01-2.08
V8 0.8693 0.9157 0.9028  2 F 1.96-1.98, 4 O 2.01-2.08
Ge1 0.0583 0.7500 0.3939  4 O 1.77-1.80
Ge2 0.4417 0.2500 0.8939  4 O 1.77-1.80
Ge3 0.5583 0.7500 0.1061  4 O 1.77-1.80
Ge4 0.9417 0.2500 0.6061  4 O 1.77-1.80
O1 0.0064 0.5923 0.2078  1 Ge 1.79
O2 0.0064 0.9077 0.2078  1 Ge 1.79
O3 0.0349 0.2500 0.2921  1 Ge 1.80
O4 0.2407 0.7500 0.4573  1 Ge 1.77
O5 0.2593 0.2500 0.9573  1 Ge 1.77
O6 0.4651 0.7500 0.7921  1 Ge 1.80
O7 0.4936 0.0923 0.7078  1 Ge 1.79
O8 0.4936 0.4077 0.7078  1 Ge 1.79
O9 0.5064 0.5923 0.2922  1 Ge 1.79
O10 0.5064 0.9077 0.2922  1 Ge 1.79
O11 0.5349 0.2500 0.2079  1 Ge 1.80
O12 0.7407 0.7500 0.0427  1 Ge 1.77
O13 0.7593 0.2500 0.5427  1 Ge 1.77
O14 0.9651 0.7500 0.7079  1 Ge 1.80
O15 0.9936 0.0923 0.7922  1 Ge 1.79
O16 0.9936 0.4077 0.7922  1 Ge 1.79
F1 0.2496 0.0608 0.4205  2 V 1.96-1.98
F2 0.2496 0.4392 0.4205  2 V 1.96-1.98
F3 0.2504 0.5608 0.9205  2 V 1.96-1.98
F4 0.2504 0.9392 0.9205  2 V 1.96-1.98
F5 0.7496 0.0608 0.0795  2 V 1.96-1.98
F6 0.7496 0.4392 0.0795  2 V 1.96-1.98
F7 0.7504 0.5608 0.5795  2 V 1.96-1.98
F8 0.7504 0.9392 0.5795  2 V 1.96-1.98

Computed properties:
Space-group type: Pnma
Electronic total energy: -6.998 eV per atom


(2)
The following is a PBE with a Hubbard U calculation of crystalline TlCrAsO5 at its relaxed geometry, from Alexandria.

Cell lengths 6.5438, 6.5438, 6.8091 Å; angles 102.53, 102.53, 102.30 degrees
Last column: nearest neighbours and their distance in Å.
Positions (direct):
Tl1 0.0000 0.0000 0.0000  2 O 2.25
Tl2 0.0000 0.0000 0.5000  2 O 2.25
Cr1 0.3261 0.6739 0.7500  5 O 1.86-2.05
Cr2 0.6739 0.3261 0.2500  5 O 1.86-2.05
As1 0.4003 0.5997 0.2500  4 O 1.71-1.76
As2 0.5997 0.4003 0.7500  4 O 1.71-1.76
O1 0.1438 0.8562 0.7500  1 Cr 1.86
O2 0.2995 0.7000 0.0489  1 As 1.71
O3 0.3000 0.7005 0.4511  1 As 1.71
O4 0.3155 0.3559 0.6814  1 As 1.76
O5 0.3559 0.3155 0.1814  1 As 1.76
O6 0.6441 0.6845 0.8186  1 As 1.76
O7 0.6845 0.6441 0.3186  1 As 1.76
O8 0.7000 0.2995 0.5489  1 As 1.71
O9 0.7005 0.3000 0.9511  1 As 1.71
O10 0.8562 0.1438 0.2500  1 Cr 1.86

Computed properties:
Space-group type: C2/c
Electronic total energy: -6.071 eV per atom


(3)
The following is a PBE with a Hubbard U calculation of crystalline V2Si2O7 at its relaxed geometry, from Alexandria.

Cell lengths 6.5343, 6.5343, 6.5343 Å; angles 60.00, 60.00, 60.00 degrees
Last column: nearest neighbours and their distance in Å.
Positions (direct):
V1 0.0000 0.0000 0.0000  2 O 2.00
V2 0.0000 0.0000 0.5000  2 O 2.00
V3 0.0000 0.5000 0.0000  2 O 2.00
V4 0.5000 0.0000 0.0000  2 O 2.00
Si1 0.0000 0.5000 0.5000  6 O 1.78
Si2 0.5000 0.0000 0.5000  6 O 1.78
Si3 0.5000 0.5000 0.0000  6 O 1.78
Si4 0.5000 0.5000 0.5000  6 O 1.78
O1 0.1250 0.1250 0.1250  4 V 2.00
O2 0.1729 0.1729 0.5771  2 Si 1.78
O3 0.1729 0.5771 0.1729  2 Si 1.78
O4 0.1729 0.5771 0.5771  2 Si 1.78
O5 0.4229 0.4229 0.8271  2 Si 1.78
O6 0.4229 0.8271 0.4229  2 Si 1.78
O7 0.4229 0.8271 0.8271  2 Si 1.78
O8 0.5771 0.1729 0.1729  2 Si 1.78
O9 0.5771 0.1729 0.5771  2 Si 1.78
O10 0.5771 0.5771 0.1729  2 Si 1.78
O11 0.8271 0.4229 0.4229  2 Si 1.78
O12 0.8271 0.4229 0.8271  2 Si 1.78
O13 0.8271 0.8271 0.4229  2 Si 1.78
O14 0.8750 0.8750 0.8750  4 V 2.00

Computed properties:
Energy relative to the lowest polymorph listed for this composition: 0.0450 eV per atom
Space-group type: Fd-3m


| no. | M_tot (μB per formula unit) |
| --- | --- |
| 1 | 4.0 |
| 2 | 2.8 |
| 3 | 4.0 |